1.
The following is a DFT calculation (GGA-PBE) of a relaxed Ac5SnIr2 crystal.

```
data_Ac5SnIr2
_chemical_formula_sum 'Ac20 Sn4 Ir8'
_space_group_name_H-M_alt 'I 4/m c m'
_space_group_IT_number 140
_space_group_name_Hall '-I 4 2c'
_cell_length_a 8.443
_cell_length_b 8.443
_cell_length_c 14.711
_cell_angle_alpha 90.00
_cell_angle_beta 90.00
_cell_angle_gamma 90.00
loop_
_atom_site_label
_atom_site_fract_x
_atom_site_fract_y
_atom_site_fract_z
Ac1 0.000 0.000 0.000
Ac2 0.160 0.340 0.133
Sn1 0.000 0.000 0.250
Ir1 0.142 0.358 0.500
```

Computed properties:
DFT formation energy = -614 meV/atom
density of states at the Fermi level = 28.542 states/eV per cell

=====

2.
The following is a DFT calculation (GGA-PBE) of a relaxed Na4HfTi3S8 crystal.

```
data_Na4HfTi3S8
_chemical_formula_sum 'Na12 Hf3 Ti9 S24'
_space_group_name_H-M_alt 'R -3 m'
_space_group_IT_number 166
_space_group_name_Hall '-R 3 2"'
_cell_length_a 7.2061
_cell_length_b 7.2061
_cell_length_c 20.1478
_cell_angle_alpha 90.00
_cell_angle_beta 90.00
_cell_angle_gamma 120.00
loop_
_atom_site_label
_atom_site_fract_x
_atom_site_fract_y
_atom_site_fract_z
Na1 0.0000 0.0000 0.0000
Na2 0.0000 0.5000 0.0000
Hf1 0.0000 0.0000 0.5000
Ti1 0.0000 0.5000 0.5000
S1 0.0000 0.0000 0.2369
S2 0.0046 0.5023 0.7616
```

Computed properties:
energy relative to the elements, uncorrected = -1.3879 eV/atom
density of states at the Fermi level = 20.872 states/eV per cell

=====

3.
The following is a DFT calculation (GGA-PBE) of a relaxed LiUTlCl6 crystal.

```
data_LiUTlCl6
_chemical_formula_sum 'Li2 U2 Tl2 Cl12'
_space_group_name_H-M_alt 'P -3 1 c'
_space_group_IT_number 163
_space_group_name_Hall '-P 3 2c'
_cell_length_a 6.8247
_cell_length_b 6.8247
_cell_length_c 14.2711
_cell_angle_alpha 90.00
_cell_angle_beta 90.00
_cell_angle_gamma 120.00
loop_
_atom_site_label
_atom_site_fract_x
_atom_site_fract_y
_atom_site_fract_z
Li1 0.3333 0.6667 0.2500
U1 0.3333 0.6667 0.7500
Tl1 0.0000 0.0000 0.0000
Cl1 0.9996 0.3694 0.6446
```

Computed properties:
energy relative to the elements, uncorrected = -1.6128 eV/atom
density of states at the Fermi level = 10.218 states/eV per cell

=====

4.
The following is a DFT calculation (GGA-PBE) of a relaxed PrPuNO crystal.

```
data_PrPuNO
_chemical_formula_sum 'Pr1 Pu1 N1 O1'
_space_group_name_H-M_alt 'P 4/m m m'
_space_group_IT_number 123
_space_group_name_Hall '-P 4 2'
_cell_length_a 3.538
_cell_length_b 3.538
_cell_length_c 5.124
_cell_angle_alpha 90.00
_cell_angle_beta 90.00
_cell_angle_gamma 90.00
loop_
_atom_site_label
_atom_site_fract_x
_atom_site_fract_y
_atom_site_fract_z
Pr1 0.000 0.000 0.000
Pu1 0.500 0.500 0.500
N1 0.000 0.000 0.500
O1 0.500 0.500 0.000
```

Computed properties:
energy relative to the elements, uncorrected = -1.9791 eV/atom
density of states at the Fermi level = 6.046 states/eV per cell

=====

5.
The following is a DFT calculation (GGA-PBE) of a relaxed Al2MoRh2 crystal.

```
data_Al2MoRh2
_chemical_formula_sum 'Al4 Mo2 Rh4'
_space_group_name_H-M_alt 'P 4/m b m'
_space_group_IT_number 127
_space_group_name_Hall '-P 4 2ab'
_cell_length_a 7.164
_cell_length_b 7.164
_cell_length_c 2.813
_cell_angle_alpha 90.00
_cell_angle_beta 90.00
_cell_angle_gamma 90.00
loop_
_atom_site_label
_atom_site_fract_x
_atom_site_fract_y
_atom_site_fract_z
Al1 0.135 0.365 0.000
Mo1 0.000 0.000 0.000
Rh1 0.163 0.663 0.500
```

Computed properties:
DFT formation energy = -544 meV/atom
density of states at the Fermi level = 4.988 states/eV per cell

=====

6.
The following is a DFT calculation (GGA-PBE) of a relaxed RuSe2IO crystal.

```
data_RuSe2IO
_chemical_formula_sum 'Ru1 Se2 I1 O1'
_space_group_name_H-M_alt 'P 4/m m m'
_space_group_IT_number 123
_space_group_name_Hall '-P 4 2'
_cell_length_a 5.594
_cell_length_b 5.594
_cell_length_c 3.571
_cell_angle_alpha 90.00
_cell_angle_beta 90.00
_cell_angle_gamma 90.00
loop_
_atom_site_label
_atom_site_fract_x
_atom_site_fract_y
_atom_site_fract_z
Ru1 0.000 0.000 0.000
Se1 0.000 0.500 0.500
I1 0.500 0.500 0.000
O1 0.000 0.000 0.500
```

Computed properties:
polymorph energy (0 for the lowest one) = 0.0 kJ per mole of atoms
energy relative to the elements, uncorrected = 0.7188 eV/atom
density of states at the Fermi level = 6.547 states/eV per cell

=====

Number 1: magnetization 0.0 μB per formula unit, electronic total energy -5.90 eV per atom. Number 2: magnetization 3.1 μB per formula unit, electronic total energy -5.88 eV per atom. Number 3: magnetization 2.0 μB per formula unit, electronic total energy -4.57 eV per atom. Number 4: magnetization 5.1 μB per formula unit, electronic total energy -10.08 eV per atom. Number 5: magnetization 0.0 μB per formula unit, electronic total energy -7.15 eV per atom. Number 6: magnetization 0.0 μB per formula unit, electronic total energy -3.83 eV per atom.